Record 1
# PBE PmThInPd, relaxed
# Spin magnetization, μB per atom: 0.0859
# Formation energy, eV per atom: -0.410
# D(E_F), states/eV/atom: 1.126
data_PmThInPd
_cell_length_a 7.510
_cell_length_b 7.510
_cell_length_c 7.510
_cell_angle_alpha 90.00
_cell_angle_beta 90.00
_cell_angle_gamma 90.00
_space_group_name_H-M_alt 'F -4 3 m'
_space_group_IT_number 216
_space_group_name_Hall 'F -4 2 3'
loop_
_atom_site_label
_atom_site_fract_x
_atom_site_fract_y
_atom_site_fract_z
Pm1 0.000 0.000 0.000
Th1 0.000 0.000 0.500
In1 0.250 0.250 0.750
Pd1 0.250 0.250 0.250

---

Record 2
# PBE PmTmInPd, relaxed
# Spin magnetization, μB per atom: 0.0000
# Formation energy, eV per atom: -0.577
# D(E_F), states/eV/atom: 0.862
data_PmTmInPd
_cell_length_a 7.346
_cell_length_b 7.346
_cell_length_c 7.346
_cell_angle_alpha 90.00
_cell_angle_beta 90.00
_cell_angle_gamma 90.00
_space_group_name_H-M_alt 'F -4 3 m'
_space_group_IT_number 216
_space_group_name_Hall 'F -4 2 3'
loop_
_atom_site_label
_atom_site_fract_x
_atom_site_fract_y
_atom_site_fract_z
Pm1 0.000 0.000 0.000
Tm1 0.000 0.000 0.500
In1 0.250 0.250 0.250
Pd1 0.250 0.250 0.750

---

Record 3
# PBE PmYInPd, relaxed
# Spin magnetization, μB per atom: 0.0000
# Formation energy, eV per atom: -0.581
# D(E_F), states/eV/atom: 0.859
data_PmYInPd
_cell_length_a 7.400
_cell_length_b 7.400
_cell_length_c 7.400
_cell_angle_alpha 90.00
_cell_angle_beta 90.00
_cell_angle_gamma 90.00
_space_group_name_H-M_alt 'F -4 3 m'
_space_group_IT_number 216
_space_group_name_Hall 'F -4 2 3'
loop_
_atom_site_label
_atom_site_fract_x
_atom_site_fract_y
_atom_site_fract_z
Pm1 0.000 0.000 0.000
Y1 0.000 0.000 0.500
In1 0.250 0.250 0.750
Pd1 0.250 0.250 0.250

---

Record 4
# PBE Pm3Zn2InPd9, relaxed
# Spin magnetization, μB per atom: 0.0000
# Formation energy, eV per atom: -0.518
# D(E_F), states/eV/atom: 0.422
data_Pm3Zn2InPd9
_cell_length_a 5.6667
_cell_length_b 5.6667
_cell_length_c 12.0114
_cell_angle_alpha 90.00
_cell_angle_beta 90.00
_cell_angle_gamma 120.00
_space_group_name_H-M_alt 'P -3 m 1'
_space_group_IT_number 164
_space_group_name_Hall '-P 3 2"'
loop_
_atom_site_label
_atom_site_fract_x
_atom_site_fract_y
_atom_site_fract_z
Pm1 0.0000 0.0000 0.0000
Pm2 0.3333 0.6667 0.7656
Zn1 0.3333 0.6667 0.1611
In1 0.0000 0.0000 0.5000
Pd1 0.0000 0.5000 0.0000
Pd2 0.1651 0.3302 0.3184

---

Record 5
# PBE PmZnInPd3, relaxed
# Spin magnetization, μB per atom: 0.0000
# Formation energy, eV per atom: -0.438
# D(E_F), states/eV/atom: 0.629
data_PmZnInPd3
_cell_length_a 6.713
_cell_length_b 12.790
_cell_length_c 5.758
_cell_angle_alpha 90.00
_cell_angle_beta 90.00
_cell_angle_gamma 90.00
_space_group_name_H-M_alt 'C m c m'
_space_group_IT_number 63
_space_group_name_Hall '-C 2c 2'
loop_
_atom_site_label
_atom_site_fract_x
_atom_site_fract_y
_atom_site_fract_z
Pm1 0.000 0.181 0.250
Zn1 0.000 0.140 0.750
In1 0.000 0.423 0.250
Pd1 0.000 0.342 0.750
Pd2 0.201 0.000 0.000

---

Record 6
# PBE Pm2Zn3InPd4, relaxed
# Spin magnetization, μB per atom: 0.0000
# Formation energy, eV per atom: -0.607
# D(E_F), states/eV/atom: 0.563
data_Pm2Zn3InPd4
_cell_length_a 4.225
_cell_length_b 4.225
_cell_length_c 11.115
_cell_angle_alpha 90.00
_cell_angle_beta 90.00
_cell_angle_gamma 90.00
_space_group_name_H-M_alt 'P -4 m 2'
_space_group_IT_number 115
loop_
_space_group_symop_operation_xyz
'x,y,z'
'y,-x,-z'
'-x,-y,z'
'-y,x,-z'
'-x,y,z'
'-y,-x,-z'
'x,-y,z'
'y,x,-z'
loop_
_atom_site_label
_atom_site_fract_x
_atom_site_fract_y
_atom_site_fract_z
Pm1 0.000 0.500 0.239
Zn1 0.000 0.500 0.872
Zn2 0.500 0.500 0.500
In1 0.000 0.000 0.500
Pd1 0.000 0.000 0.000
Pd2 0.000 0.500 0.650
Pd3 0.500 0.500 0.000

---

Record 7
# PBE PmZnInPd, relaxed
# Spin magnetization, μB per atom: 0.0000
# Formation energy, eV per atom: -0.577
# D(E_F), states/eV/atom: 0.646
data_PmZnInPd
_cell_length_a 6.915
_cell_length_b 6.915
_cell_length_c 6.915
_cell_angle_alpha 90.00
_cell_angle_beta 90.00
_cell_angle_gamma 90.00
_space_group_name_H-M_alt 'F -4 3 m'
_space_group_IT_number 216
_space_group_name_Hall 'F -4 2 3'
loop_
_atom_site_label
_atom_site_fract_x
_atom_site_fract_y
_atom_site_fract_z
Pm1 0.000 0.000 0.000
Zn1 0.250 0.250 0.250
In1 0.000 0.000 0.500
Pd1 0.250 0.250 0.750

---

Record 8
# PBE Pm2Zn4InPd3, relaxed
# Spin magnetization, μB per atom: 0.0000
# Formation energy, eV per atom: -0.551
# D(E_F), states/eV/atom: 0.572
data_Pm2Zn4InPd3
_cell_length_a 4.052
_cell_length_b 4.052
_cell_length_c 12.035
_cell_angle_alpha 90.00
_cell_angle_beta 90.00
_cell_angle_gamma 90.00
_space_group_name_H-M_alt 'P -4 m 2'
_space_group_IT_number 115
loop_
_space_group_symop_operation_xyz
'x,y,z'
'y,-x,-z'
'-x,-y,z'
'-y,x,-z'
'-x,y,z'
'-y,-x,-z'
'x,-y,z'
'y,x,-z'
loop_
_atom_site_label
_atom_site_fract_x
_atom_site_fract_y
_atom_site_fract_z
Pm1 0.000 0.500 0.238
Zn1 0.000 0.000 0.000
Zn2 0.000 0.500 0.649
Zn3 0.500 0.500 0.000
In1 0.000 0.000 0.500
Pd1 0.000 0.500 0.860
Pd2 0.500 0.500 0.500

---

Record 9
# PBE Pr2InPd, relaxed
# Spin magnetization, μB per atom: 0.0000
# E above lowest polymorph, meV/atom: 0
# Formation energy, eV per atom: -0.594
# D(E_F), states/eV/atom: 0.586
data_Pr2InPd
_cell_length_a 3.685
_cell_length_b 3.685
_cell_length_c 7.954
_cell_angle_alpha 90.00
_cell_angle_beta 90.00
_cell_angle_gamma 90.00
_space_group_name_H-M_alt 'P 4/m m m'
_space_group_IT_number 123
_space_group_name_Hall '-P 4 2'
loop_
_atom_site_label
_atom_site_fract_x
_atom_site_fract_y
_atom_site_fract_z
Pr1 0.000 0.000 0.225
In1 0.500 0.500 0.500
Pd1 0.500 0.500 0.000

---

Record 10
# PBE PrIn2Pd4, relaxed
# Spin magnetization, μB per atom: 0.0000
# E above lowest polymorph, meV/atom: 102
# Formation energy, eV per atom: -0.539
# D(E_F), states/eV/atom: 0.470
data_PrIn2Pd4
_cell_length_a 7.943
_cell_length_b 7.943
_cell_length_c 4.442
_cell_angle_alpha 90.00
_cell_angle_beta 90.00
_cell_angle_gamma 90.00
_space_group_name_H-M_alt 'P 42/m n m'
_space_group_IT_number 136
_space_group_name_Hall '-P 4n 2n'
loop_
_atom_site_label
_atom_site_fract_x
_atom_site_fract_y
_atom_site_fract_z
Pr1 0.000 0.000 0.000
In1 0.215 0.215 0.500
Pd1 0.099 0.645 0.500

---

Record 11
# PBE Pr2InPd6, relaxed
# Spin magnetization, μB per atom: 0.0000
# E above lowest polymorph, meV/atom: 243
# Formation energy, eV per atom: -0.449
# D(E_F), states/eV/atom: 0.442
data_Pr2InPd6
_cell_length_a 12.969
_cell_length_b 8.409
_cell_length_c 3.833
_cell_angle_alpha 90.00
_cell_angle_beta 107.15
_cell_angle_gamma 90.00
_space_group_name_H-M_alt 'C 1 2/m 1'
_space_group_IT_number 12
loop_
_space_group_symop_operation_xyz
'x,y,z'
'-x,-y,-z'
'-x,y,-z'
'x,-y,z'
'x+1/2,y+1/2,z'
'-x+1/2,-y+1/2,-z'
'-x+1/2,y+1/2,-z'
'x+1/2,-y+1/2,z'
loop_
_atom_site_label
_atom_site_fract_x
_atom_site_fract_y
_atom_site_fract_z
Pr1 0.160 0.000 0.158
In1 0.000 0.500 0.500
Pd1 0.000 0.266 0.000
Pd2 0.164 0.268 0.663

---

Record 12
# PBE Pr6InPd2, relaxed
# Spin magnetization, μB per atom: 0.0000
# Formation energy, eV per atom: -0.451
# D(E_F), states/eV/atom: 1.073
data_Pr6InPd2
_cell_length_a 9.741
_cell_length_b 10.282
_cell_length_c 10.910
_cell_angle_alpha 90.00
_cell_angle_beta 90.00
_cell_angle_gamma 90.00
_space_group_name_H-M_alt 'I m m m'
_space_group_IT_number 71
_space_group_name_Hall '-I 2 2'
loop_
_atom_site_label
_atom_site_fract_x
_atom_site_fract_y
_atom_site_fract_z
Pr1 0.000 0.197 0.237
Pr2 0.198 0.500 0.175
Pr3 0.211 0.317 0.500
In1 0.000 0.000 0.000
In2 0.000 0.000 0.500
Pd1 0.000 0.350 0.000
Pd2 0.000 0.500 0.372

---

Record 13
# PBE Pr12InPd5, relaxed
# Spin magnetization, μB per atom: 0.0000
# Formation energy, eV per atom: -0.482
# D(E_F), states/eV/atom: 1.003
data_Pr12InPd5
_cell_length_a 9.819
_cell_length_b 10.179
_cell_length_c 10.746
_cell_angle_alpha 90.00
_cell_angle_beta 90.00
_cell_angle_gamma 90.00
_space_group_name_H-M_alt 'I m m m'
_space_group_IT_number 71
_space_group_name_Hall '-I 2 2'
loop_
_atom_site_label
_atom_site_fract_x
_atom_site_fract_y
_atom_site_fract_z
Pr1 0.000 0.188 0.223
Pr2 0.198 0.500 0.174
Pr3 0.211 0.321 0.500
In1 0.000 0.000 0.500
Pd1 0.000 0.000 0.000
Pd2 0.000 0.355 0.000
Pd3 0.000 0.500 0.370

---

Record 14
# PBE PrIn2Pd4, relaxed
# Spin magnetization, μB per atom: 0.0000
# E above lowest polymorph, meV/atom: 0
# Formation energy, eV per atom: -0.641
# D(E_F), states/eV/atom: 0.537
data_PrIn2Pd4
_cell_length_a 6.936
_cell_length_b 6.936
_cell_length_c 5.694
_cell_angle_alpha 90.00
_cell_angle_beta 90.00
_cell_angle_gamma 90.00
_space_group_name_H-M_alt 'I 4/m m m'
_space_group_IT_number 139
_space_group_name_Hall '-I 4 2'
loop_
_atom_site_label
_atom_site_fract_x
_atom_site_fract_y
_atom_site_fract_z
Pr1 0.000 0.000 0.000
In1 0.000 0.500 0.250
Pd1 0.200 0.200 0.500

---

Record 15
# PBE PrIn3Pd3, relaxed
# Spin magnetization, μB per atom: 0.0000
# E above lowest polymorph, meV/atom: 45
# Formation energy, eV per atom: -0.485
# D(E_F), states/eV/atom: 0.439
data_PrIn3Pd3
_cell_length_a 8.2581
_cell_length_b 8.2581
_cell_length_c 16.5509
_cell_angle_alpha 90.00
_cell_angle_beta 90.00
_cell_angle_gamma 120.00
_space_group_name_H-M_alt 'R -3'
_space_group_IT_number 148
_space_group_name_Hall '-R 3'
loop_
_atom_site_label
_atom_site_fract_x
_atom_site_fract_y
_atom_site_fract_z
Pr1 0.0000 0.0000 0.1704
In1 0.0092 0.6893 0.6206
Pd1 0.0036 0.7064 0.4504

---

Record 16
# PBE Pr2In9Pd3, relaxed
# Spin magnetization, μB per atom: 0.0000
# Formation energy, eV per atom: -0.476
# D(E_F), states/eV/atom: 0.423
data_Pr2In9Pd3
_cell_length_a 14.519
_cell_length_b 8.376
_cell_length_c 11.589
_cell_angle_alpha 90.00
_cell_angle_beta 114.76
_cell_angle_gamma 90.00
_space_group_name_H-M_alt 'C 1 2/c 1'
_space_group_IT_number 15
loop_
_space_group_symop_operation_xyz
'x,y,z'
'-x,-y,-z'
'-x,y,-z+1/2'
'x,-y,z+1/2'
'x+1/2,y+1/2,z'
'-x+1/2,-y+1/2,-z'
'-x+1/2,y+1/2,-z+1/2'
'x+1/2,-y+1/2,z+1/2'
loop_
_atom_site_label
_atom_site_fract_x
_atom_site_fract_y
_atom_site_fract_z
Pr1 0.168 0.083 0.252
In1 0.000 0.366 0.250
In2 0.059 0.076 0.926
In3 0.108 0.413 0.063
In4 0.109 0.310 0.749
In5 0.229 0.414 0.426
Pd1 0.083 0.249 0.500
Pd2 0.250 0.250 0.000

---

Record 17
# PBE Pr2In12Pd7, relaxed
# Spin magnetization, μB per atom: 0.0000
# Formation energy, eV per atom: -0.488
# D(E_F), states/eV/atom: 0.459
data_Pr2In12Pd7
_cell_length_a 10.8168
_cell_length_b 10.8168
_cell_length_c 4.4968
_cell_angle_alpha 90.00
_cell_angle_beta 90.00
_cell_angle_gamma 120.00
_space_group_name_H-M_alt 'P -6'
_space_group_IT_number 174
loop_
_space_group_symop_operation_xyz
'x,y,z'
'-x+y,-x,-z'
'-y,x-y,z'
'x,y,-z'
'-x+y,-x,z'
'-y,x-y,-z'
loop_
_atom_site_label
_atom_site_fract_x
_atom_site_fract_y
_atom_site_fract_z
Pr1 0.0000 0.0000 0.0000
Pr2 0.3333 0.6667 0.5000
In1 0.0781 0.6926 0.0000
In2 0.0808 0.2688 0.5000
In3 0.4560 0.2064 0.0000
In4 0.5110 0.0380 0.5000
Pd1 0.0914 0.4384 0.0000
Pd2 0.3030 0.2095 0.5000
Pd3 0.6667 0.3333 0.5000

---

Record 18
# PBE PrIn2Pd9, relaxed
# Spin magnetization, μB per atom: 0.0000
# Formation energy, eV per atom: -0.530
# D(E_F), states/eV/atom: 0.808
data_PrIn2Pd9
_cell_length_a 4.119
_cell_length_b 4.119
_cell_length_c 12.217
_cell_angle_alpha 90.00
_cell_angle_beta 90.00
_cell_angle_gamma 90.00
_space_group_name_H-M_alt 'P 4/m m m'
_space_group_IT_number 123
_space_group_name_Hall '-P 4 2'
loop_
_atom_site_label
_atom_site_fract_x
_atom_site_fract_y
_atom_site_fract_z
Pr1 0.000 0.000 0.000
In1 0.000 0.000 0.341
Pd1 0.000 0.500 0.179
Pd2 0.000 0.500 0.500
Pd3 0.500 0.500 0.000
Pd4 0.500 0.500 0.337

---

Record 19
# PBE PrInPd3, relaxed
# Spin magnetization, μB per atom: 0.0000
# Formation energy, eV per atom: -0.460
# D(E_F), states/eV/atom: 0.324
data_PrInPd3
_cell_length_a 5.8622
_cell_length_b 5.8622
_cell_length_c 15.9261
_cell_angle_alpha 90.00
_cell_angle_beta 90.00
_cell_angle_gamma 120.00
_space_group_name_H-M_alt 'P 63/m m c'
_space_group_IT_number 194
_space_group_name_Hall '-P 6c 2c'
loop_
_atom_site_label
_atom_site_fract_x
_atom_site_fract_y
_atom_site_fract_z
Pr1 0.0000 0.0000 0.0000
Pr2 0.3333 0.6667 0.2500
In1 0.3333 0.6667 0.6293
Pd1 0.0000 0.5000 0.0000
Pd2 0.1524 0.3049 0.7500

---

Record 20
# PBE PrIn3Pd4, relaxed
# Spin magnetization, μB per atom: 0.0000
# Formation energy, eV per atom: -0.591
# D(E_F), states/eV/atom: 0.585
data_PrIn3Pd4
_cell_length_a 4.6040
_cell_length_b 4.6040
_cell_length_c 26.5228
_cell_angle_alpha 90.00
_cell_angle_beta 90.00
_cell_angle_gamma 120.00
_space_group_name_H-M_alt 'R -3 m'
_space_group_IT_number 166
_space_group_name_Hall '-R 3 2"'
loop_
_atom_site_label
_atom_site_fract_x
_atom_site_fract_y
_atom_site_fract_z
Pr1 0.0000 0.0000 0.0000
In1 0.0000 0.0000 0.2451
In2 0.0000 0.0000 0.5000
Pd1 0.0000 0.0000 0.1315
Pd2 0.0000 0.0000 0.3971